# Li3Mn2Cr2O8 GGA+U optimized geometry
# Energy   -6.85 eV per atom
# Mass density   4.054 g/cm3
# Space-group type   P-1, No. 2
data_Li3Mn2Cr2O8
_chemical_formula_sum 'Li3 Mn2 Cr2 O8'
_cell_length_a 5.873
_cell_length_b 5.867
_cell_length_c 5.920
_cell_angle_alpha 118.61
_cell_angle_beta 119.05
_cell_angle_gamma 90.56
_symmetry_space_group_name_H-M 'P 1'
_symmetry_Int_Tables_number 1
loop_
_symmetry_equiv_pos_as_xyz
'x,y,z'
loop_
_atom_site_label
_atom_site_fract_x
_atom_site_fract_y
_atom_site_fract_z
O1 0.209 0.732 0.958
Cr1 0.000 0.500 0.000
O2 0.761 0.738 0.971
Mn1 0.000 0.500 0.500
Cr2 0.500 0.500 0.500
O3 0.791 0.268 0.042
O4 0.750 0.721 0.482
Li1 0.500 0.500 0.000
O5 0.227 0.714 0.466
O6 0.239 0.262 0.029
Mn2 0.000 0.000 0.000
Li2 0.000 0.000 0.500
O7 0.250 0.279 0.518
Li3 0.500 0.000 0.500
O8 0.773 0.286 0.534